Entry one
8
Lattice="7.533 0.606 -0.282 4.288 7.441 -0.195 3.686 2.921 3.265" Properties=species:S:1:pos:R:3 comment="PBE-GGA HfZr6Ti, relaxed" volume_a3_per_atom=22.8 pbc="T T T"
Hf 7.753 5.484 1.394
Zr 12.219 6.775 2.057
Zr 6.092 2.880 0.698
Zr 9.414 8.088 2.090
Zr 2.629 1.024 0.492
Zr 3.287 4.193 0.731
Zr 12.878 9.944 2.295
Ti 0.000 0.000 0.000

=====

Entry two
8
Lattice="5.087 0.000 0.000 0.000 5.813 -2.669 0.000 -0.596 6.369" Properties=species:S:1:pos:R:3 comment="PBE-GGA HfZr6Ti, relaxed" volume_a3_per_atom=22.5 pbc="T T T"
Ti 2.544 0.471 4.864
Zr 2.544 3.383 3.535
Zr 0.000 4.478 2.017
Zr 0.000 4.741 -1.158
Zr 2.544 0.762 1.677
Zr 0.000 1.832 0.141
Zr 0.000 1.522 3.381
Hf 2.544 3.679 0.341

=====

Last place for stability: entry one

=====

Entry one
3
Lattice="-1.636 -0.272 -2.825 0.742 -2.405 -2.097 -5.364 -5.391 1.726" Properties=species:S:1:pos:R:3 comment="PBE-GGA Hf2Tl, relaxed" volume_a3_per_atom=23.4 pbc="T T T"
Hf -5.476 -6.119 -0.039
Hf -3.588 -3.814 0.546
Tl -2.145 -3.161 -2.252

=====

Entry two
6
Lattice="-4.070 -0.036 -0.200 -0.163 -2.518 3.768 -0.168 7.261 2.115" Properties=species:S:1:pos:R:3 comment="PBE-GGA Hf2Tl, relaxed" volume_a3_per_atom=22.2 pbc="T T T"
Hf -2.201 0.759 3.141
Hf -2.200 3.948 2.543
Hf -2.035 -0.018 -0.100
Hf -0.081 -1.259 1.884
Tl -0.079 1.898 1.265
Tl -0.252 2.845 4.619

=====

Entry three
3
Lattice="5.962 0.000 0.000 3.866 4.539 0.000 -4.914 -2.269 2.500" Properties=species:S:1:pos:R:3 comment="PBE-GGA Hf2Tl, relaxed" volume_a3_per_atom=22.5 pbc="T T T"
Hf 8.181 3.778 0.000
Hf 1.647 0.760 0.000
Tl 4.914 2.269 0.000

=====

Last place for stability: entry two

=====

Entry one
4
Lattice="4.110 0.000 0.000 0.000 4.688 0.000 0.000 0.000 4.688" Properties=species:S:1:pos:R:3 comment="PBE-GGA Hf2UTl, relaxed" volume_a3_per_atom=22.6 pbc="T T T"
Hf 0.000 2.344 0.000
Hf 0.000 0.000 2.344
Tl 2.055 0.000 0.000
U 2.055 2.344 2.344

=====

Entry two
4
Lattice="3.615 0.000 0.000 0.000 3.615 0.000 0.000 0.000 6.861" Properties=species:S:1:pos:R:3 comment="PBE-GGA Hf2UTl, relaxed" volume_a3_per_atom=22.4 pbc="T T T"
Hf 0.000 0.000 5.238
Hf 0.000 0.000 1.623
U 1.808 1.808 0.000
Tl 1.808 1.808 3.431

=====

Entry three
4
Lattice="-2.681 1.777 -0.263 -1.751 0.677 2.625 4.065 9.398 2.271" Properties=species:S:1:pos:R:3 comment="PBE-GGA Hf2UTl, relaxed" volume_a3_per_atom=23.3 pbc="T T T"
U 0.000 0.000 0.000
Hf -0.097 2.955 1.157
Hf -0.270 8.897 3.476
Tl -0.183 5.926 2.316

=====

Last place for stability: entry two

=====

Entry one
5
Lattice="-0.919 3.284 3.228 -4.568 -0.235 -1.061 -0.581 -3.348 3.241" Properties=species:S:1:pos:R:3 comment="PBE-GGA HfTlV3, relaxed" volume_a3_per_atom=20.7 pbc="T T T"
Hf 0.000 0.000 0.000
Tl -3.034 -0.149 2.704
V -0.459 1.642 1.614
V -0.290 -1.674 1.620
V -2.284 -0.117 -0.531

=====

Entry two
5
Lattice="-3.555 0.564 -3.396 2.981 -1.937 -3.442 -1.721 -4.519 1.052" Properties=species:S:1:pos:R:3 comment="PBE-GGA HfTlV3, relaxed" volume_a3_per_atom=24.2 pbc="T T T"
V -1.777 0.282 -1.698
V 1.491 -0.968 -1.721
V -0.861 -2.259 0.526
Tl 0.000 0.000 0.000
Hf -1.148 -2.946 -2.893

=====

Last place for stability: entry two

=====

Entry one
4
Lattice="1.283 -4.657 -0.465 0.170 -2.872 3.908 -3.311 -3.499 0.586" Properties=species:S:1:pos:R:3 comment="PBE-GGA Hf2TlV, relaxed" volume_a3_per_atom=20.2 pbc="T T T"
Tl -0.929 -5.514 2.014
Hf -0.465 -2.757 1.007
Hf -1.394 -8.271 3.021
V 0.000 0.000 0.000

=====

Entry two
8
Lattice="4.104 0.000 0.000 0.000 4.104 0.000 2.052 2.052 10.303" Properties=species:S:1:pos:R:3 comment="PBE-GGA Hf2TlV, relaxed" volume_a3_per_atom=21.7 pbc="T T T"
Hf 3.043 1.026 2.576
Hf 3.078 3.112 7.728
Hf 1.061 3.078 2.576
Hf 5.129 5.095 7.728
Tl 4.104 2.052 5.152
Tl 0.000 0.000 0.000
V 2.052 2.052 0.000
V 2.052 4.104 5.152

=====

Entry three
4
Lattice="-0.774 3.132 2.493 -4.361 -0.603 -0.597 -0.090 -2.780 3.465" Properties=species:S:1:pos:R:3 comment="PBE-GGA Hf2TlV, relaxed" volume_a3_per_atom=20.1 pbc="T T T"
V -0.387 1.566 1.246
Tl -2.612 -0.125 2.680
Hf -2.181 -0.301 -0.298
Hf -0.045 -1.390 1.732

=====

Entry four
4
Lattice="-0.759 3.300 -0.354 -1.688 -0.696 -2.874 -5.867 -0.955 3.678" Properties=species:S:1:pos:R:3 comment="PBE-GGA Hf2TlV, relaxed" volume_a3_per_atom=20.3 pbc="T T T"
Hf -4.591 -0.747 2.878
Hf -1.276 -0.208 0.800
Tl -4.157 0.825 0.225
V -1.223 1.302 -1.614

=====

Last place for stability: entry two

=====

Entry one
5
Lattice="5.248 0.000 0.000 0.000 5.248 0.000 0.000 0.000 5.248" Properties=species:S:1:pos:R:3 comment="PBE-GGA Hf3TlV, relaxed" volume_a3_per_atom=28.9 pbc="T T T"
Hf 2.624 0.000 0.000
Hf 0.000 0.000 2.624
Hf 0.000 2.624 0.000
Tl 0.000 0.000 0.000
V 2.624 2.624 2.624

=====

Entry two
5
Lattice="-2.758 -2.726 2.981 -2.954 -1.101 -3.740 2.755 -3.909 -1.026" Properties=species:S:1:pos:R:3 comment="PBE-GGA Hf3TlV, relaxed" volume_a3_per_atom=23.4 pbc="T T T"
V 0.000 0.000 0.000
Hf 1.378 -1.954 -0.513
Hf -1.379 -1.363 1.490
Hf -1.477 -0.550 -1.870
Tl -1.478 -3.868 -0.893

=====

Last place for stability: entry one

=====

Entry one
10
Lattice="8.289 0.000 0.000 0.000 8.289 0.000 0.000 0.000 2.998" Properties=species:S:1:pos:R:3 comment="PBE-GGA HfTl2W2, relaxed" volume_a3_per_atom=20.6 pbc="T T T"
Hf 0.000 0.000 0.000
Hf 4.145 4.145 0.000
Tl 6.775 5.660 0.000
Tl 2.630 6.775 0.000
Tl 1.515 2.630 0.000
Tl 5.660 1.515 0.000
W 0.910 5.055 1.499
W 5.055 7.379 1.499
W 7.379 3.234 1.499
W 3.234 0.910 1.499

=====

Entry two
5
Lattice="-2.995 2.652 0.131 -1.395 -1.740 3.324 1.782 4.755 5.648" Properties=species:S:1:pos:R:3 comment="PBE-GGA HfTl2W2, relaxed" volume_a3_per_atom=22.6 pbc="T T T"
W -1.077 4.494 6.721
W -1.532 1.173 2.381
Tl -1.704 3.931 3.753
Tl -0.904 1.735 5.349
Hf 0.000 0.000 0.000

=====

Last place for stability: entry two

=====

Entry one
8
Lattice="8.474 0.000 0.000 0.000 8.474 0.000 4.237 4.237 3.174" Properties=species:S:1:pos:R:3 comment="PBE-GGA Y2HfTl, relaxed" volume_a3_per_atom=28.5 pbc="T T T"
Hf 4.237 8.474 1.587
Hf 4.237 4.237 0.000
Y 10.592 10.712 2.380
Y 1.999 6.355 0.793
Y 6.355 6.236 2.380
Y 6.475 2.118 0.793
Tl 8.474 4.237 1.587
Tl 0.000 0.000 0.000

=====

Entry two
4
Lattice="3.329 0.000 0.000 1.664 2.883 0.000 1.664 0.961 11.739" Properties=species:S:1:pos:R:3 comment="PBE-GGA Y2HfTl, relaxed" volume_a3_per_atom=28.2 pbc="T T T"
Y 4.993 2.883 3.175
Y 1.664 0.961 8.564
Hf 0.000 0.000 0.000
Tl 3.329 1.922 5.870

=====

Entry three
4
Lattice="0.000 3.782 3.782 3.782 0.000 3.782 3.782 3.782 0.000" Properties=species:S:1:pos:R:3 comment="PBE-GGA Y2HfTl, relaxed" volume_a3_per_atom=27.1 pbc="T T T"
Y 1.891 1.891 1.891
Y 5.673 5.673 5.673
Tl 3.782 3.782 3.782
Hf 0.000 0.000 0.000

=====

Last place for stability: entry one